Record 1
ThMg2, optimized geometry, DFT PBE; total DFT energy (no corrections) = -3.399 eV/atom
1.0
-0.330 -1.674 16.058
7.172 -3.070 2.973
1.833 4.803 0.538
Mg Th
16 8
Direct
0.116 0.812 0.500
0.257 0.956 0.500
0.618 0.239 0.500
0.968 0.667 0.500
0.821 0.521 0.500
0.158 0.140 0.000
0.373 0.840 0.000
0.673 0.870 0.500
0.591 0.775 0.000
0.603 0.587 0.500
0.079 0.549 0.000
0.037 0.222 0.500
0.937 0.405 0.000
0.227 0.694 0.000
0.522 0.491 0.000
0.577 0.122 0.000
0.746 0.336 0.000
0.805 0.845 0.000
0.984 0.976 0.000
0.353 0.271 0.000
0.449 0.025 0.500
0.211 0.386 0.500
0.390 0.516 0.500
0.842 0.090 0.500

---

Record 2
Sm2Pb2S2O5, optimized geometry, DFT PBE; total DFT energy (no corrections) = -6.181 eV/atom
1.0
3.576 -1.924 12.144
2.956 3.711 11.894
-5.987 -1.160 -11.260
O Pb S Sm
5 2 2 2
Direct
0.885 0.385 0.500
0.500 0.500 0.000
0.615 0.115 0.500
0.385 0.885 0.500
0.115 0.615 0.500
0.582 0.582 0.000
0.418 0.418 0.000
0.291 0.291 0.000
0.709 0.709 0.000
0.825 0.825 0.000
0.175 0.175 0.000

---

Record 3
PmZr, optimized geometry, DFT PBE; relative energy among the computed polymorphs = 0.868 eV/atom; total DFT energy (no corrections) = -5.697 eV/atom; formation energy = 1.898 eV/f.u.
1.0
-2.766 -3.386 0.098
-4.303 0.680 -0.380
-2.093 -1.219 -3.641
Zr Pm
1 1
Direct
0.500 0.500 0.500
0.000 0.000 0.000

---

Record 4
TaTc2Sb, optimized geometry, DFT PBE; total DFT energy (no corrections) = -8.853 eV/atom
1.0
4.097 -1.914 0.649
3.031 1.980 2.786
1.011 -1.928 4.017
Tc Ta Sb
2 1 1
Direct
0.750 0.750 0.750
0.000 0.000 0.000
0.250 0.250 0.250
0.500 0.500 0.500

---

Record 5
Na2InSnAu2, optimized geometry, DFT PBE; total DFT energy (no corrections) = -2.991 eV/atom
1.0
4.929 0.000 0.000
-2.465 4.269 0.000
0.000 0.000 6.256
Sn Au Na In
1 2 2 1
Direct
0.333 0.667 0.500
0.000 0.000 0.500
0.333 0.667 0.000
0.667 0.333 0.749
0.667 0.333 0.251
0.000 0.000 0.000

---

Record 6
HfReMo, optimized geometry, DFT PBE; relative energy among the computed polymorphs = 0.244 eV/atom; total DFT energy (no corrections) = -11.115 eV/atom; formation energy = -0.119 eV/f.u.
1.0
-5.282 0.008 4.162
-1.001 -3.947 -1.264
4.403 -2.908 5.593
Mo Re Hf
4 4 4
Direct
0.848 0.750 0.074
0.152 0.250 0.926
0.652 0.250 0.574
0.348 0.750 0.426
0.277 0.250 0.599
0.223 0.750 0.099
0.723 0.750 0.401
0.777 0.250 0.901
0.509 0.250 0.186
0.491 0.750 0.814
0.009 0.250 0.314
0.991 0.750 0.686